Entry 1:
# NdDy2YN4, optimized geometry, DFT PBE-GGA
data_NdDy2YN4
_cell_length_a 6.0990
_cell_length_b 3.5218
_cell_length_c 6.0998
_cell_angle_alpha 90.00
_cell_angle_beta 109.42
_cell_angle_gamma 90.00
_symmetry_space_group_name_H-M 'P 1'
_symmetry_Int_Tables_number 1
loop_
_symmetry_equiv_pos_as_xyz
'x,y,z'
loop_
_atom_site_label
_atom_site_type_symbol
_atom_site_fract_x
_atom_site_fract_y
_atom_site_fract_z
_atom_site_occupancy
Nd1 Nd 0.0000 0.0000 0.0000 1
Dy1 Dy 0.0000 0.5000 0.5000 1
Dy2 Dy 0.5000 0.0000 0.5000 1
Y1 Y 0.5000 0.5000 0.0000 1
N1 N 0.2530 0.0000 0.7457 1
N2 N 0.2572 0.5000 0.2579 1
N3 N 0.7428 0.5000 0.7421 1
N4 N 0.7470 0.0000 0.2543 1
# DOS(E_F): 0.033 states/eV/atom
# Space-group type: P2/m (10)
# Energy relative to the elements, uncorrected: -1596 meV per atom


Entry 2:
# Ti5Ru4Pt, optimized geometry, DFT PBE-GGA
data_Ti5Ru4Pt
_cell_length_a 3.1001
_cell_length_b 3.1001
_cell_length_c 15.4787
_cell_angle_alpha 90.00
_cell_angle_beta 90.00
_cell_angle_gamma 90.00
_symmetry_space_group_name_H-M 'P 1'
_symmetry_Int_Tables_number 1
loop_
_symmetry_equiv_pos_as_xyz
'x,y,z'
loop_
_atom_site_label
_atom_site_type_symbol
_atom_site_fract_x
_atom_site_fract_y
_atom_site_fract_z
_atom_site_occupancy
Ti1 Ti 0.0000 0.0000 0.0000 1
Ti2 Ti 0.0000 0.0000 0.1976 1
Ti3 Ti 0.0000 0.0000 0.3941 1
Ti4 Ti 0.0000 0.0000 0.6059 1
Ti5 Ti 0.0000 0.0000 0.8024 1
Ru1 Ru 0.5000 0.5000 0.0992 1
Ru2 Ru 0.5000 0.5000 0.2979 1
Ru3 Ru 0.5000 0.5000 0.7021 1
Ru4 Ru 0.5000 0.5000 0.9008 1
Pt1 Pt 0.5000 0.5000 0.5000 1
# DOS(E_F): 0.725 states/eV/atom
# Space-group type: P4/mmm (123)
# Raw total energy: -0.331 Ha/atom


Entry 3:
# Cs2NaIn2Te4, optimized geometry, DFT PBE-GGA
data_Cs2NaIn2Te4
_cell_length_a 9.1597
_cell_length_b 9.1597
_cell_length_c 8.8228
_cell_angle_alpha 107.26
_cell_angle_beta 107.26
_cell_angle_gamma 32.27
_symmetry_space_group_name_H-M 'P 1'
_symmetry_Int_Tables_number 1
loop_
_symmetry_equiv_pos_as_xyz
'x,y,z'
loop_
_atom_site_label
_atom_site_type_symbol
_atom_site_fract_x
_atom_site_fract_y
_atom_site_fract_z
_atom_site_occupancy
Cs1 Cs 0.1230 0.1230 0.0494 1
Cs2 Cs 0.8770 0.8770 0.9506 1
Na1 Na 0.0000 0.0000 0.5000 1
In1 In 0.3347 0.3347 0.5081 1
In2 In 0.6653 0.6653 0.4919 1
Te1 Te 0.2057 0.2057 0.6687 1
Te2 Te 0.4833 0.4833 0.7390 1
Te3 Te 0.5167 0.5167 0.2610 1
Te4 Te 0.7943 0.7943 0.3313 1
# DOS(E_F): 0.092 states/eV/atom
# Space-group type: C2/m (12)
# Energy relative to the elements, uncorrected: -722 meV per atom


Entry 4:
# Al2Zn2Ga5, optimized geometry, DFT PBE-GGA
data_Al2Zn2Ga5
_cell_length_a 8.2257
_cell_length_b 8.2257
_cell_length_c 8.2257
_cell_angle_alpha 78.53
_cell_angle_beta 118.36
_cell_angle_gamma 136.38
_symmetry_space_group_name_H-M 'P 1'
_symmetry_Int_Tables_number 1
loop_
_symmetry_equiv_pos_as_xyz
'x,y,z'
loop_
_atom_site_label
_atom_site_type_symbol
_atom_site_fract_x
_atom_site_fract_y
_atom_site_fract_z
_atom_site_occupancy
Al1 Al 0.0230 0.1377 0.1608 1
Al2 Al 0.0230 0.3623 0.3853 1
Al3 Al 0.9770 0.6377 0.6147 1
Al4 Al 0.9770 0.8623 0.8392 1
Zn1 Zn 0.3235 0.3235 0.0000 1
Zn2 Zn 0.3235 0.8235 0.5000 1
Zn3 Zn 0.5946 0.8800 0.2146 1
Zn4 Zn 0.6654 0.3800 0.7854 1
Ga1 Ga 0.1101 0.4713 0.9222 1
Ga2 Ga 0.1101 0.6878 0.1387 1
Ga3 Ga 0.1455 0.0804 0.5651 1
Ga4 Ga 0.4718 0.2123 0.3725 1
Ga5 Ga 0.4718 0.5993 0.7594 1
Ga6 Ga 0.5152 0.5804 0.4349 1
Ga7 Ga 0.5491 0.1878 0.0778 1
Ga8 Ga 0.5491 0.9713 0.8613 1
Ga9 Ga 0.8399 0.0993 0.6275 1
Ga10 Ga 0.8399 0.7123 0.2406 1
# DOS(E_F): 0.303 states/eV/atom
# Energy above the lowest structure with this stoichiometry: 21 meV per atom
# Space-group type: Ima2 (46)


Entry 5:
# HgRh5Se8, optimized geometry, DFT PBE-GGA
data_HgRh5Se8
_cell_length_a 9.8660
_cell_length_b 9.8660
_cell_length_c 8.6436
_cell_angle_alpha 104.42
_cell_angle_beta 104.42
_cell_angle_gamma 21.80
_symmetry_space_group_name_H-M 'P 1'
_symmetry_Int_Tables_number 1
loop_
_symmetry_equiv_pos_as_xyz
'x,y,z'
loop_
_atom_site_label
_atom_site_type_symbol
_atom_site_fract_x
_atom_site_fract_y
_atom_site_fract_z
_atom_site_occupancy
Hg1 Hg 0.0000 0.0000 0.0000 1
Rh1 Rh 0.1580 0.1580 0.4737 1
Rh2 Rh 0.2028 0.2028 0.8223 1
Rh3 Rh 0.5002 0.5002 0.4997 1
Rh4 Rh 0.7976 0.7976 0.1773 1
Rh5 Rh 0.8424 0.8424 0.5258 1
Se1 Se 0.0738 0.0738 0.6457 1
Se2 Se 0.2626 0.2626 0.3476 1
Se3 Se 0.3226 0.3226 0.0090 1
Se4 Se 0.4129 0.4129 0.6742 1
Se5 Se 0.5876 0.5876 0.3252 1
Se6 Se 0.6778 0.6778 0.9905 1
Se7 Se 0.7378 0.7378 0.6519 1
Se8 Se 0.9267 0.9267 0.3538 1
# DOS(E_F): 0.490 states/eV/atom
# Space-group type: Cm (8)
# Energy relative to the elements, uncorrected: -354 meV per atom


Entry 6:
# FeCoGe4, optimized geometry, DFT PBE-GGA
data_FeCoGe4
_cell_length_a 5.7780
_cell_length_b 5.7780
_cell_length_c 3.0464
_cell_angle_alpha 90.00
_cell_angle_beta 90.00
_cell_angle_gamma 90.08
_symmetry_space_group_name_H-M 'P 1'
_symmetry_Int_Tables_number 1
loop_
_symmetry_equiv_pos_as_xyz
'x,y,z'
loop_
_atom_site_label
_atom_site_type_symbol
_atom_site_fract_x
_atom_site_fract_y
_atom_site_fract_z
_atom_site_occupancy
Fe1 Fe 0.0000 0.0000 0.0000 1
Co1 Co 0.5000 0.5000 0.5000 1
Ge1 Ge 0.2179 0.7821 0.5000 1
Ge2 Ge 0.2833 0.2833 0.0000 1
Ge3 Ge 0.7167 0.7167 0.0000 1
Ge4 Ge 0.7821 0.2179 0.5000 1
# DOS(E_F): 0.577 states/eV/atom
# Energy above the lowest structure with this stoichiometry: 0 meV per atom
# Space-group type: Cmmm (65)


| no. | V (Å³ per atom) |
| --- | --- |
| 1 | 15.4 |
| 2 | 14.9 |
| 3 | 41.8 |
| 4 | 18.2 |
| 5 | 21.6 |
| 6 | 17.0 |